This record from Alexandria via LeMat-Bulk describes Nd5TeSe4 after structural relaxation. The functional is PBE-GGA.

It has space group C2/m (No. 12), with a = 14.275 Å, b = 4.269 Å, c = 10.522 Å, α = 90.00°, β = 119.78° and γ = 90.00°. The distinct sites, in fractional coordinates, are Nd at (0.000, 0.000, 0.000), Nd at (0.111, 0.500, 0.393), Nd at (0.208, 0.000, 0.813), Te at (0.000, 0.000, 0.500), Se at (0.095, 0.500, 0.894) and Se at (0.204, 0.000, 0.295).

The value obtained for the energy above the lowest structure with this stoichiometry is 0.000 eV per atom. The density of states at the Fermi level is 0.498 states/eV/atom.


This record from Alexandria via LeMat-Bulk describes Nd2Te2Se after structural relaxation. The functional is PBE-GGA.

It has space group Pnma (No. 62), with a = 8.944 Å, b = 6.405 Å, c = 12.939 Å, α = 90.00°, β = 90.00° and γ = 90.00°. The distinct sites, in fractional coordinates, are Nd at (0.081, 0.250, 0.235), Nd at (0.153, 0.250, 0.576), Te at (0.076, 0.750, 0.227), Te at (0.145, 0.750, 0.571) and Se at (0.188, 0.750, 0.891).


This record from Alexandria via LeMat-Bulk describes Nd4TeSe3 after structural relaxation. The functional is PBE-GGA.

It has space group Pmmn (No. 59, origin choice 2), with a = 6.032 Å, b = 10.275 Å, c = 8.587 Å, α = 90.00°, β = 90.00° and γ = 90.00°. The distinct sites, in fractional coordinates, are Nd at (0.250, 0.048, 0.153), Nd at (0.250, 0.250, 0.740), Nd at (0.250, 0.750, 0.620), Te at (0.250, 0.750, 0.247), Se at (0.250, 0.250, 0.399) and Se at (0.250, 0.532, 0.826).

The value obtained for the energy above the lowest structure with this stoichiometry is 0.248 eV per atom. The density of states at the Fermi level is 0.590 states/eV/atom.


This record from Alexandria via LeMat-Bulk describes Nd2TeSe after structural relaxation. The functional is PBE-GGA.

It has space group Fm-3m (No. 225), with a = 7.556 Å, b = 7.556 Å, c = 7.556 Å, α = 90.00°, β = 90.00° and γ = 90.00°. The distinct sites, in fractional coordinates, are Nd at (0.250, 0.250, 0.250), Te at (0.000, 0.000, 0.000) and Se at (0.000, 0.000, 0.500).

The value obtained for the energy above the lowest structure with this stoichiometry is 0.213 eV per atom. The density of states at the Fermi level is 0.775 states/eV/atom.


This record from Alexandria via LeMat-Bulk describes Nd4Te5Se after structural relaxation. The functional is PBE-GGA.

It has space group C2/m (No. 12), with a = 19.517 Å, b = 4.445 Å, c = 8.915 Å, α = 90.00°, β = 104.51° and γ = 90.00°. The distinct sites, in fractional coordinates, are Nd at (0.003, 0.000, 0.250), Nd at (0.171, 0.500, 0.101), Te at (0.000, 0.500, 0.500), Te at (0.164, 0.000, 0.339), Te at (0.164, 0.000, 0.839) and Se at (0.000, 0.500, 0.000).

The density of states at the Fermi level is 0.203 states/eV/atom.


This record from Alexandria via LeMat-Bulk describes Nd4TeSe3 after structural relaxation. The functional is PBE-GGA.

It has space group P6_3/mmc (No. 194), with a = 4.2535 Å, b = 4.2535 Å, c = 28.7372 Å, α = 90.00°, β = 90.00° and γ = 120.00°. The distinct sites, in fractional coordinates, are Nd at (0.0000, 0.0000, 0.1769), Nd at (0.3333, 0.6667, 0.0625), Te at (0.3333, 0.6667, 0.2500), Se at (0.0000, 0.0000, 0.0000) and Se at (0.3333, 0.6667, 0.6196).

The value obtained for the energy above the lowest structure with this stoichiometry is 0.000 eV per atom. The density of states at the Fermi level is 0.390 states/eV/atom.


This record from Alexandria via LeMat-Bulk describes Nd8TeSe6 after structural relaxation. The functional is PBE-GGA.

It has space group P-3 (No. 147), with a = 10.8200 Å, b = 10.8200 Å, c = 4.2881 Å, α = 90.00°, β = 90.00° and γ = 120.00°. The distinct sites, in fractional coordinates, are Nd at (0.0356, 0.7076, 0.2589), Nd at (0.3333, 0.6667, 0.7466), Te at (0.0000, 0.0000, 0.5000) and Se at (0.1311, 0.4824, 0.2458).

The density of states at the Fermi level is 0.547 states/eV/atom.


This record from Alexandria via LeMat-Bulk describes Nd2TeSe2 after structural relaxation. The functional is PBE-GGA.

It has space group P2_1/m (No. 11), with a = 5.995 Å, b = 4.591 Å, c = 11.891 Å, α = 90.00°, β = 103.01° and γ = 90.00°. The distinct sites, in fractional coordinates, are Nd at (0.104, 0.250, 0.175), Nd at (0.291, 0.250, 0.593), Te at (0.279, 0.750, 0.051), Se at (0.210, 0.750, 0.402) and Se at (0.333, 0.750, 0.738).

The value obtained for the energy above the lowest structure with this stoichiometry is 0.000 eV per atom. The density of states at the Fermi level is 0.099 states/eV/atom.


This record from Alexandria via LeMat-Bulk describes Nd6Te3Se2 after structural relaxation. The functional is PBE-GGA.

It has space group R-3m (No. 166, hexagonal axes), with a = 4.2969 Å, b = 4.2969 Å, c = 64.6980 Å, α = 90.00°, β = 90.00° and γ = 120.00°. The distinct sites, in fractional coordinates, are Nd at (0.0000, 0.0000, 0.0922), Nd at (0.0000, 0.0000, 0.1903), Nd at (0.0000, 0.0000, 0.3626), Te at (0.0000, 0.0000, 0.0000), Te at (0.0000, 0.0000, 0.2726) and Se at (0.0000, 0.0000, 0.4509).

The density of states at the Fermi level is 0.632 states/eV/atom.


This record from Alexandria via LeMat-Bulk describes Nd4Te2Se3 after structural relaxation. The functional is PBE-GGA.

It has space group Cmce (No. 64), with a = 8.166 Å, b = 16.153 Å, c = 7.868 Å, α = 90.00°, β = 90.00° and γ = 90.00°. The distinct sites, in fractional coordinates, are Nd at (0.000, 0.197, 0.040), Nd at (0.250, 0.029, 0.750), Te at (0.000, 0.106, 0.424), Se at (0.000, 0.000, 0.000) and Se at (0.250, 0.211, 0.750).

The density of states at the Fermi level is 0.352 states/eV/atom.


This record from Alexandria via LeMat-Bulk describes Nd4TeSe2 after structural relaxation. The functional is PBE-GGA.

It has space group Cmcm (No. 63), with a = 4.166 Å, b = 13.912 Å, c = 14.432 Å, α = 90.00°, β = 90.00° and γ = 90.00°. The distinct sites, in fractional coordinates, are Nd at (0.000, 0.000, 0.000), Nd at (0.000, 0.277, 0.121), Nd at (0.000, 0.430, 0.750), Te at (0.000, 0.101, 0.750) and Se at (0.000, 0.362, 0.561).

The value obtained for the energy above the lowest structure with this stoichiometry is 0.000 eV per atom. The density of states at the Fermi level is 0.690 states/eV/atom.


This record from Alexandria via LeMat-Bulk describes Nd4Te3Se after structural relaxation. The functional is PBE-GGA.

It has space group Cmmm (No. 65), with a = 8.957 Å, b = 12.577 Å, c = 4.396 Å, α = 90.00°, β = 90.00° and γ = 90.00°. The distinct sites, in fractional coordinates, are Nd at (0.000, 0.235, 0.000), Nd at (0.225, 0.000, 0.500), Te at (0.000, 0.500, 0.000), Te at (0.250, 0.250, 0.500) and Se at (0.000, 0.000, 0.000).

The density of states at the Fermi level is 0.502 states/eV/atom.


The evaluated VASP energy for the records listed, in turn: -116.81, -106.74, -89.36, -87.74, -104.97, -93.32, -83.96, -55.21, -181.27, -202.32, -156.19, -88.38 eV/cell.
The evaluated energy relative to the elements, uncorrected for the records listed, in turn: -1.749, -1.476, -1.502, -1.444, -1.422, -1.749, -1.452, -1.592, -1.402, -1.641, -1.409, -1.526 eV per atom.